Below is a PBEsol-optimized structure of Zn22Ni3, with properties calculated at the meta-GGA SCAN level.

Cell: 7.3043 7.5007 7.5358 Å, 108.31 90.00 119.14°
Sites, in units of the cell vectors:
Zn1 0.7384 0.0828 0.6877
Zn2 0.2616 0.9172 0.3123
Zn3 0.6556 0.9172 0.3123
Zn4 0.3444 0.0828 0.6877
Zn5 0.3228 0.0000 0.0000
Zn6 0.6772 0.0000 0.0000
Zn7 0.8307 0.6614 0.2157
Zn8 0.1693 0.3386 0.7843
Zn9 0.9773 0.9545 0.8243
Zn10 0.0227 0.0455 0.1757
Zn11 0.3517 0.7035 0.7266
Zn12 0.6483 0.2965 0.2734
Zn13 0.6850 0.3700 0.6221
Zn14 0.3150 0.6300 0.3779
Zn15 0.0226 0.6850 0.5359
Zn16 0.9774 0.3150 0.4641
Zn17 0.3377 0.3150 0.4641
Zn18 0.6623 0.6850 0.5359
Zn19 0.9977 0.6157 0.9004
Zn20 0.0023 0.3843 0.0996
Zn21 0.3820 0.3843 0.0996
Zn22 0.6180 0.6157 0.9004
Ni1 0.6571 0.3143 0.9457
Ni2 0.3429 0.6857 0.0543
Ni3 0.0000 0.0000 0.5000

Values from the calculation:
For the formation enthalpy at 0 K, the calculation gives -0.129 eV per atom. The density of states at the Fermi level comes out at 5.53 states/eV per cell. Its space group is C2/m.